1.
{
  "formula": "DyPuIrRu",
  "functional": "PBE",
  "state": "optimized geometry",
  "cell": [[4.818, 0.000, 0.000], [2.409, 4.173, 0.000], [2.409, 1.391, 3.934]],
  "species": ["Dy", "Pu", "Ru", "Ir"],
  "frac_coords": [[0.000, 0.000, 0.000], [0.500, 0.500, 0.500], [0.250, 0.250, 0.250], [0.750, 0.750, 0.750]],
  "total_energy_ev_per_atom": -9.694,
  "mass_density_g_cm3": 14.7,
  "ef_ev_per_atom": -0.43
}



2.
{
  "formula": "DyPuTcIr",
  "functional": "PBE",
  "state": "optimized geometry",
  "cell": [[-4.043, -2.506, -0.747], [-1.723, -2.877, 3.455], [-4.038, 1.193, 2.335]],
  "species": ["Dy", "Tc", "Pu", "Ir"],
  "frac_coords": [[0.750, 0.750, 0.750], [0.500, 0.500, 0.500], [0.250, 0.250, 0.250], [0.000, 0.000, 0.000]],
  "total_energy_ev_per_atom": -9.828,
  "mass_density_g_cm3": 14.7,
  "ef_ev_per_atom": -0.29
}